Density functional theory data (PBE) for an optimized crystal structure of MnNi8Rh2.

CIF file:
```
data_MnNi8Rh2
_cell_length_a 14.3259
_cell_length_b 4.8228
_cell_length_c 3.9489
_cell_angle_alpha 90.00
_cell_angle_beta 92.15
_cell_angle_gamma 90.00
_symmetry_space_group_name_H-M 'C 1 2/m 1'
_symmetry_Int_Tables_number 12
_symmetry_space_group_name_Hall '-C 2y'
loop_
_atom_site_label
_atom_site_fract_x
_atom_site_fract_y
_atom_site_fract_z
Mn1 0.0000 0.0000 0.0000
Ni1 0.0452 0.5000 0.2488
Ni2 0.1225 0.2613 0.7368
Ni3 0.1643 0.0000 0.2458
Rh1 0.2215 0.5000 0.2366
```

Properties
As for the crystal system: monoclinic. For the density of states at the Fermi level, the calculation gives 12.33 states/eV/f.u. Its energy relative to the elements is 0.123 eV per atom.